GaAg2MoF8 | GGA+U | optimized geometry

Structure (POSCAR):
```
GaAg2MoF8
1.0
5.388 0.000 0.000
0.000 6.482 0.000
-0.226 0.000 5.473
Ga Ag Mo F
1 2 1 8
Direct
0.000 0.000 0.000 Ga
0.500 0.234 0.500 Ag
0.500 0.766 0.500 Ag
0.000 0.500 0.000 Mo
0.154 0.236 0.827 F
0.154 0.764 0.827 F
0.262 0.000 0.230 F
0.289 0.500 0.262 F
0.711 0.500 0.738 F
0.738 0.000 0.770 F
0.846 0.236 0.173 F
0.846 0.764 0.173 F
```

Values from the calculation:
Space-group type   No. 10
Magnetic moment   3.0 μB/cell
Total energy   -4.61 eV/atom